No. 1
Rb3ZrPa3Te8 after structural relaxation. Source: Alexandria, functional PBE.

Structure (POSCAR):
```
Rb3ZrPa3Te8
1.0
-7.184 1.451 -4.573
1.374 -7.761 3.538
-2.754 7.360 6.662
Te Rb Pa Zr
8 3 3 1
Direct
0.228 0.971 0.699
0.772 0.029 0.301
0.743 0.971 0.699
0.228 0.456 0.699
0.772 0.544 0.301
0.264 0.528 0.291
0.257 0.029 0.301
0.736 0.472 0.709
0.000 0.000 0.000
0.000 0.500 0.000
0.500 0.500 0.000
0.000 0.500 0.500
0.500 0.000 0.500
0.500 0.500 0.500
0.000 0.000 0.500
```

Summary:
Raw formation energy in eV/atom: -0.93
SG: No. 166



No. 2
Pu2Cd15In2 after structural relaxation. Source: Alexandria, functional PBE.

Structure (POSCAR):
```
Pu2Cd15In2
1.0
7.714 -0.032 -0.029
0.969 7.653 -0.029
0.969 0.850 7.606
Cd In Pu
15 2 2
Direct
0.310 0.000 0.690
0.500 0.000 0.000
0.000 0.310 0.690
0.643 0.169 0.643
0.000 0.000 0.500
0.310 0.690 0.000
0.169 0.643 0.643
0.690 0.000 0.310
0.000 0.690 0.310
0.357 0.357 0.831
0.000 0.500 0.000
0.690 0.310 0.000
0.357 0.831 0.357
0.831 0.357 0.357
0.643 0.643 0.169
0.899 0.899 0.899
0.101 0.101 0.101
0.671 0.671 0.671
0.329 0.329 0.329
```

Summary:
SG: No. 166
ΔH_f (0 K) in kcal/mol of atoms: -0.68



No. 3
La5In4Cu after structural relaxation. Source: Alexandria, functional PBE.

Structure (POSCAR):
```
La5In4Cu
1.0
-1.774 3.125 -1.074
0.074 -1.182 -3.559
-18.561 -9.578 2.794
Cu In La
1 4 5
Direct
0.000 0.000 0.000
0.000 0.000 0.187
0.000 0.000 0.396
0.000 0.000 0.813
0.000 0.000 0.604
0.500 0.500 0.916
0.500 0.500 0.708
0.500 0.500 0.084
0.500 0.500 0.500
0.500 0.500 0.292
```

Summary:
SG: No. 123
ΔH_f (0 K) in kcal/mol of atoms: -10.11



No. 4
DySiIr2 after structural relaxation. Source: Alexandria, functional PBE.

Structure (POSCAR):
```
DySiIr2
1.0
-2.733 -1.283 -2.561
2.460 -2.865 -1.189
-3.451 -5.671 6.522
Dy Si Ir
2 2 4
Direct
0.000 0.500 0.791
0.500 0.000 0.209
0.500 0.000 0.646
0.000 0.500 0.354
0.500 0.000 0.894
0.000 0.000 0.500
0.000 0.500 0.106
0.500 0.500 0.500
```

Summary:
Raw formation energy in eV/atom: -0.79
SG: No. 129



Electronic total energy per entry: -78.97; -48.43; -44.07; -61.81 eV for the cell shown
Magnetic moment per entry: 5.93; 11.80; 0.00; 0.00 μB/f.u.
N(E_F) per entry: 1.194; 1.782; 0.867; 0.774 states/eV per atom